The following is a DFT calculation (PBE) of an optimized crystal structure of Ti3SiO.

The symmetry is Cmcm, No. 63. The value obtained for the total energy is -0.610 Ry per atom. The uncorrected formation energy is -1.48 eV per atom. For the offset from the most stable computed form, the calculation gives 0.00 eV per formula unit.

Geometry as CIF:
```
data_Ti3SiO
_cell_length_a 5.414
_cell_length_b 5.414
_cell_length_c 7.981
_cell_angle_alpha 90.00
_cell_angle_beta 90.00
_cell_angle_gamma 145.76
_symmetry_space_group_name_H-M 'P 1'
_symmetry_Int_Tables_number 1
loop_
_symmetry_equiv_pos_as_xyz
'x,y,z'
loop_
_atom_site_label
_atom_site_type_symbol
_atom_site_fract_x
_atom_site_fract_y
_atom_site_fract_z
_atom_site_occupancy
Ti1 Ti 0.051 0.949 0.750 1
Ti2 Ti 0.363 0.637 0.551 1
Ti3 Ti 0.363 0.637 0.949 1
Ti4 Ti 0.637 0.363 0.051 1
Ti5 Ti 0.637 0.363 0.449 1
Ti6 Ti 0.949 0.051 0.250 1
Si1 Si 0.257 0.743 0.250 1
Si2 Si 0.743 0.257 0.750 1
O1 O 0.000 0.000 0.000 1
O2 O 0.000 0.000 0.500 1
```